Record 1
Na2ErInSe4 after structural relaxation. Source: Alexandria via LeMat-Bulk, functional GGA-PBE.

abc: 4.0660 7.0774 7.4401
angles: 108.78 90.00 90.00
Closest atoms and distances in Å follow each position.
Fractional positions:
In 0.0000 0.0000 0.0000  6 Se 2.80-2.87
Se 0.5000 0.7663 0.7778  2 In 2.80, 1 Er 2.88, 3 Na 3.03-3.07
Se 0.0000 0.7422 0.2295  2 Er 2.85, 1 In 2.87, 3 Na 3.02-3.03
Se 0.0000 0.2578 0.7705  2 Er 2.85, 1 In 2.87, 3 Na 3.02-3.03
Se 0.5000 0.2337 0.2222  2 In 2.80, 1 Er 2.88, 3 Na 3.03-3.07
Na 0.5000 0.0000 0.5000  6 Se 3.02-3.03
Na 0.0000 0.5000 0.5000  6 Se 3.03-3.07
Er 0.5000 0.5000 0.0000  6 Se 2.85-2.88

Values from the calculation:
symmetry = P2/m, No. 10
formation energy (no corrections) = -1233 meV/atom
crystal system = monoclinic

Record 2
Sb2TeW after structural relaxation. Source: Alexandria via LeMat-Bulk, functional GGA-PBE.

abc: 9.7969 9.7969 9.7969
angles: 20.39 20.39 20.39
Closest atoms and distances in Å follow each position.
Fractional positions:
Sb 0.0136 0.0136 0.0136  3 W 2.79
Sb 0.2598 0.2598 0.2598  9 Sb 3.21-3.47
W 0.7478 0.7478 0.7478  3 Te 2.72, 3 Sb 2.79
Te 0.4787 0.4787 0.4787  3 W 2.72

Values from the calculation:
symmetry = R3m, No. 160
formation energy (no corrections) = 294 meV/atom
crystal system = trigonal

Record 3
Te2IrSe after structural relaxation. Source: Alexandria via LeMat-Bulk, functional GGA-PBE.

abc: 3.3246 5.3463 4.8253
angles: 90.00 90.00 90.00
Closest atoms and distances in Å follow each position.
Fractional positions:
Se 0.0000 0.5000 0.5000  4 Te 2.93, 4 Ir 3.15
Te 0.0000 0.0000 0.0000  4 Ir 2.93, 4 Te 3.15
Te 0.5000 0.5000 0.0000  4 Se 2.93, 4 Te 3.15
Ir 0.5000 0.0000 0.5000  4 Te 2.93, 4 Se 3.15

Values from the calculation:
symmetry = Pmmm, No. 47
formation energy (no corrections) = 695 meV/atom
crystal system = orthorhombic

Record 4
Tb4Pm2Th5 after structural relaxation. Source: Alexandria via LeMat-Bulk, functional GGA-PBE.

abc: 3.4743 8.8447 11.7525
angles: 85.78 90.00 90.00
Closest atoms and distances in Å follow each position.
Fractional positions:
Th 0.0000 0.5779 0.7139  1 Pm 3.31, 4 Th 3.38-3.47, 4 Tb 3.61-3.69
Th 0.0000 0.2062 0.8241  1 Pm 3.32, 4 Th 3.44-3.47, 4 Tb 3.62-3.66
Th 0.0000 0.5000 0.0000  6 Th 3.38-3.47, 4 Tb 3.58
Th 0.0000 0.4221 0.2861  1 Pm 3.31, 4 Th 3.38-3.47, 4 Tb 3.61-3.69
Th 0.0000 0.7938 0.1759  1 Pm 3.32, 4 Th 3.44-3.47, 4 Tb 3.62-3.66
Tb 0.5000 0.3042 0.5551  3 Tb 3.47-3.61, 6 Th 3.61-3.69, 4 Pm 3.68-3.69
Tb 0.5000 0.8405 0.9053  3 Tb 3.47-3.72, 8 Th 3.58-3.77, 2 Pm 3.67
Tb 0.5000 0.1595 0.0947  3 Tb 3.47-3.72, 8 Th 3.58-3.77, 2 Pm 3.67
Tb 0.5000 0.6958 0.4449  3 Tb 3.47-3.61, 6 Th 3.61-3.69, 4 Pm 3.68-3.69
Pm 0.0000 0.9449 0.6358  3 Pm 3.27-3.47, 2 Th 3.31-3.32
Pm 0.0000 0.0551 0.3642  3 Pm 3.27-3.47, 2 Th 3.31-3.32

Values from the calculation:
symmetry = P2/m, No. 10
calculated formation energy = 0.1368 eV/atom
crystal system = monoclinic

no.,raw total energy (eV per atom),M_tot (μB per atom)
1,-4.2177,0.000
2,-5.7909,0.000
3,-3.9625,0.000
4,-5.7833,0.000